First-principles (PBE) data for a geometry-optimized Tl2Bi3Pb5 structure, as listed in Alexandria.

Lattice parameters (Å, degrees): 17.4265 17.4265 8.6255 90.00 90.00 164.89
Fractional positions:
Tl: 0.0188 0.9812 0.5000
Tl: 0.3290 0.6710 0.6092
Tl: 0.6710 0.3290 0.1092
Tl: 0.9812 0.0188 0.0000
Bi: 0.1062 0.8938 0.3151
Bi: 0.2564 0.7436 0.1050
Bi: 0.4552 0.5448 0.2923
Bi: 0.5448 0.4552 0.7923
Bi: 0.7436 0.2564 0.6050
Bi: 0.8938 0.1062 0.8151
Pb: 0.1024 0.8976 0.9152
Pb: 0.1955 0.8045 0.8003
Pb: 0.1982 0.8018 0.4019
Pb: 0.3705 0.6295 0.0968
Pb: 0.4505 0.5495 0.6771
Pb: 0.5495 0.4505 0.1771
Pb: 0.6295 0.3705 0.5968
Pb: 0.8018 0.1982 0.9019
Pb: 0.8045 0.1955 0.3003
Pb: 0.8976 0.1024 0.4152

Calculated values
- raw total energy (eV for the cell shown) = -69.26
- symmetry = Cmc2_1 (36)